1.
4
Lattice="2.7671 0.0000 0.0000 0.0000 3.6819 0.0000 0.0000 0.0000 5.5239" Properties=species:S:1:pos:R:3 comment="AlNiPt2 | the Alexandria database | PBE | relaxed" vol_a3_per_cell=56.3 density_g_cm3=14.0 ef_ev_per_fu=-2.178 sg="Pmm2 (25)" pbc="T T T"
Al 0.0000 0.0000 0.0000
Ni 1.3835 1.8409 1.3376
Pt 0.0000 0.0000 2.5640
Pt 1.3835 1.8409 4.2370

---

2.
12
Lattice="9.7844 0.0000 0.0000 -4.8922 8.4736 0.0000 0.0000 0.0000 3.1206" Properties=species:S:1:pos:R:3 comment="AsRu | the Alexandria database | PBE | relaxed" vol_a3_per_cell=258.7 density_g_cm3=6.8 ef_ev_per_fu=0.007 sg="P6_3/m (176)" pbc="T T T"
As -1.0210 3.2218 0.7801
As -1.5916 7.7469 0.7801
As 2.2796 2.4951 2.3404
As 2.6126 5.9785 0.7801
As 6.4838 0.7267 2.3404
As 5.9132 5.2518 2.3404
Ru -2.0761 5.4292 0.7801
Ru 1.2285 3.9610 0.7801
Ru 4.0446 0.9166 2.3404
Ru 0.8476 7.5570 0.7801
Ru 3.6637 4.5125 2.3404
Ru 6.9683 3.0444 2.3404

---

3.
10
Lattice="0.0000 5.3743 5.3743 5.3743 0.0000 5.3743 5.3743 5.3743 0.0000" Properties=species:S:1:pos:R:3 comment="Rb2AlInCl6 | the Alexandria database | PBE | relaxed" vol_a3_per_cell=310.4 density_g_cm3=2.8 relative_energy_mev_per_atom=14 e_form_raw_ev_per_atom=-1.560 sg="Fm-3m (225)" pbc="T T T"
Rb 2.6871 2.6871 2.6871
Rb 8.0614 8.0614 8.0614
Al 0.0000 0.0000 0.0000
In 5.3743 5.3743 5.3743
Cl 5.3743 5.3743 2.3530
Cl 5.3743 2.3530 5.3743
Cl 8.3955 5.3743 5.3743
Cl 2.3530 5.3743 5.3743
Cl 5.3743 8.3955 5.3743
Cl 5.3743 5.3743 8.3955

---

4.
3
Lattice="-1.4665 1.4665 7.4307 1.4665 -1.4665 7.4307 1.4665 1.4665 -7.4307" Properties=species:S:1:pos:R:3 comment="TiZnSn | the Alexandria database | PBE | relaxed" vol_a3_per_cell=63.9 density_g_cm3=6.0 ef_ev_per_fu=0.741 sg="I4mm (107)" pbc="T T T"
Ti 0.0000 0.0000 0.0000
Zn 0.0000 0.0000 5.5603
Sn 0.0000 0.0000 2.7976

---

5.
8
Lattice="-3.9810 3.9810 2.8857 3.9810 -3.9810 2.8857 3.9810 3.9810 -2.8857" Properties=species:S:1:pos:R:3 comment="NaMn2Tl | the Alexandria database | PBE | relaxed" vol_a3_per_cell=182.9 density_g_cm3=6.1 ef_ev_per_fu=3.166 sg="I-42d (122)" pbc="T T T"
Na 0.0000 0.0000 0.0000
Na 0.0000 3.9810 1.4429
Mn 1.9905 2.1683 -0.7214
Mn 5.7936 1.9905 0.7214
Mn 1.9905 1.8127 2.1643
Mn -1.8127 1.9905 3.6071
Tl 3.9810 0.0000 1.4429
Tl 0.0000 0.0000 2.8857

---

6.
4
Lattice="2.9453 0.0000 0.0000 0.0000 3.8543 0.0000 0.0000 0.0000 6.0757" Properties=species:S:1:pos:R:3 comment="CdFeAg2 | the Alexandria database | PBE | relaxed" vol_a3_per_cell=69.0 density_g_cm3=9.2 ef_ev_per_fu=1.007 sg="Pmmm (47)" pbc="T T T"
Cd 0.0000 0.0000 0.0000
Fe 0.0000 0.0000 3.0379
Ag 1.4726 1.9272 1.6373
Ag 1.4726 1.9272 4.4384

---

7.
11
Lattice="6.0164 -5.5918 0.0000 6.0164 5.5918 0.0000 -2.2138 0.0000 5.5602" Properties=species:S:1:pos:R:3 comment="La7Tb2Mg2 | the Alexandria database | PBE | relaxed" vol_a3_per_cell=374.1 density_g_cm3=5.9 relative_energy_mev_per_atom=21 ef_ev_per_fu=1.135 sg="C2/m (12)" pbc="T T T"
La 0.0000 0.0000 0.0000
La 1.8906 3.2458 4.4902
La 1.3850 0.0000 3.6541
La 7.9284 3.2458 1.0699
La 1.8906 -3.2458 4.4902
La 8.4339 0.0000 1.9061
La 7.9284 -3.2458 1.0699
Tb 4.9095 3.1109 2.7801
Tb 4.9095 -3.1109 2.7801
Mg 4.8017 0.0000 1.2282
Mg 5.0173 0.0000 4.3320

---

8.
14
Lattice="7.9122 0.0000 0.0000 0.0000 6.5890 0.0000 -3.0862 0.0000 7.3873" Properties=species:S:1:pos:R:3 comment="NdSm4Ru2 | the Alexandria database | PBE | relaxed" vol_a3_per_cell=385.1 density_g_cm3=8.2 relative_energy_mev_per_atom=24 ef_ev_per_fu=-1.037 sg="P2_1/m (11)" pbc="T T T"
Nd -0.3031 1.6473 1.2042
Nd 5.1291 4.9418 6.1830
Sm 0.1215 3.3063 4.3321
Sm 0.1215 6.5772 4.3321
Sm 1.7902 4.9418 1.8123
Sm 2.9178 1.6473 0.1492
Sm 1.9081 4.9418 7.2381
Sm 3.0358 1.6473 5.5750
Sm 4.7045 0.0118 3.0552
Sm 4.7045 3.2827 3.0552
Ru -2.1408 1.6473 5.4600
Ru 2.0997 1.6473 2.7428
Ru 2.7263 4.9418 4.6445
Ru 6.9668 4.9418 1.9272

---

9.
5
Lattice="7.3671 0.0000 0.0000 0.0000 7.3671 0.0000 0.0000 0.0000 7.3671" Properties=species:S:1:pos:R:3 comment="CsMg3Au | the Alexandria database | PBE | relaxed" vol_a3_per_cell=399.8 density_g_cm3=1.7 relative_energy_mev_per_atom=1185 ef_ev_per_fu=5.571 sg="Pm-3m (221)" pbc="T T T"
Cs 0.0000 0.0000 0.0000
Mg 0.0000 0.0000 3.6836
Mg 0.0000 3.6836 0.0000
Mg 3.6836 0.0000 0.0000
Au 3.6836 3.6836 3.6836

---

10.
5
Lattice="5.5902 0.0000 0.0000 0.0000 5.5902 0.0000 0.0000 0.0000 6.0847" Properties=species:S:1:pos:R:3 comment="AsPbIBr2 | the Alexandria database | PBE | relaxed" vol_a3_per_cell=190.1 density_g_cm3=5.0 relative_energy_mev_per_atom=0 e_form_raw_ev_per_atom=0.194 sg="P4/mmm (123)" pbc="T T T"
As 0.0000 0.0000 0.0000
Pb 0.0000 0.0000 3.0423
I 2.7951 2.7951 0.0000
Br 0.0000 2.7951 3.0423
Br 2.7951 0.0000 3.0423

---

11.
16
Lattice="7.2517 0.0000 0.0000 0.0000 14.5036 0.0000 0.0000 0.0000 5.1206" Properties=species:S:1:pos:R:3 comment="Tb2Pm5Sm | the Alexandria database | PBE | relaxed" vol_a3_per_cell=538.6 density_g_cm3=7.4 relative_energy_mev_per_atom=0 ef_ev_per_fu=0.115 sg="Pbam (55)" pbc="T T T"
Tb 1.8124 1.8102 0.0000
Tb 1.8135 9.0621 0.0000
Tb 5.4382 5.4416 0.0000
Tb 5.4394 12.6934 0.0000
Pm 0.0000 0.0000 2.5603
Pm 7.2493 3.6278 2.5603
Pm 0.0025 10.8759 2.5603
Pm 1.8100 5.4411 0.0000
Pm 1.8159 12.6929 0.0000
Pm 3.6234 3.6240 2.5603
Pm 3.6259 7.2518 2.5603
Pm 3.6284 10.8796 2.5603
Pm 5.4359 1.8107 0.0000
Pm 5.4418 9.0626 0.0000
Sm 0.0000 7.2518 2.5603
Sm 3.6259 0.0000 2.5603

---

12.
8
Lattice="2.7213 1.5711 8.9030 -2.7213 1.5711 8.9030 0.0000 -3.1423 8.9030" Properties=species:S:1:pos:R:3 comment="LaPmNd2Hg4 | the Alexandria database | PBE | relaxed" vol_a3_per_cell=228.4 density_g_cm3=10.0 ef_ev_per_fu=-3.831 sg="R-3m (166)" pbc="T T T"
La 0.0000 0.0000 0.0000
Pm 0.0000 0.0000 13.3545
Nd 0.0000 0.0000 6.6656
Nd 0.0000 0.0000 20.0433
Hg 0.0000 0.0000 3.3734
Hg 0.0000 0.0000 10.0592
Hg 0.0000 0.0000 16.6498
Hg 0.0000 0.0000 23.3356

---

13.
7
Lattice="6.2725 -1.8773 0.0000 6.2725 1.8773 0.0000 -4.1580 0.0000 8.1448" Properties=species:S:1:pos:R:3 comment="Tb3Sm2Pd2 | the Alexandria database | PBE | relaxed" vol_a3_per_cell=191.8 density_g_cm3=8.6 ef_ev_per_fu=-3.553 sg="C2/m (12)" pbc="T T T"
Tb 0.0000 0.0000 0.0000
Tb -0.3957 0.0000 3.5954
Tb 8.7827 0.0000 4.5494
Sm 3.5427 0.0000 1.5269
Sm 4.8443 0.0000 6.6178
Pd 1.0116 0.0000 6.2132
Pd 7.3753 0.0000 1.9315

---

14.
18
Lattice="4.1389 2.3896 6.3422 -4.1389 2.3896 6.3422 0.0000 -4.7791 6.3422" Properties=species:S:1:pos:R:3 comment="Ba2GaSi3Pt12 | the Alexandria database | PBE | relaxed" vol_a3_per_cell=376.3 density_g_cm3=12.2 e_form_raw_ev_per_atom=-0.438 sg="R-3m (166)" pbc="T T T"
Ba 0.0000 0.0000 2.2078
Ba 0.0000 0.0000 16.8188
Ga 0.0000 0.0000 9.5133
Si -2.0694 -1.1948 6.3422
Si -2.0694 1.1948 12.6844
Si 0.0000 2.3896 6.3422
Pt -1.9934 -1.1509 8.6633
Pt 0.0000 -2.1230 5.6949
Pt -1.8386 1.0615 5.6949
Pt 0.0000 -2.3018 10.3633
Pt -1.9934 1.1509 10.3633
Pt -1.8386 -1.0615 13.3317
Pt 1.8386 1.0615 5.6949
Pt 1.9934 -1.1509 8.6633
Pt 0.0000 2.3018 8.6633
Pt 1.8386 -1.0615 13.3317
Pt 0.0000 2.1230 13.3317
Pt 1.9934 1.1509 10.3633

---

15.
8
Lattice="-3.4553 3.4553 2.7625 3.4553 -3.4553 2.7625 3.4553 3.4553 -2.7625" Properties=species:S:1:pos:R:3 comment="Ti2PdRh | the Alexandria database | PBE | relaxed" vol_a3_per_cell=131.9 density_g_cm3=7.7 ef_ev_per_fu=-1.043 sg="I-42d (122)" pbc="T T T"
Ti 5.1830 1.6535 -0.6906
Ti 1.6535 1.7277 0.6906
Ti -1.7277 1.8018 2.0718
Ti 1.8018 1.7277 3.4531
Pd 3.4553 0.0000 1.3812
Pd 0.0000 0.0000 2.7625
Rh 0.0000 0.0000 0.0000
Rh 0.0000 3.4553 1.3812

---

16.
5
Lattice="4.1784 0.0000 0.0000 0.0000 4.1784 0.0000 0.0000 0.0000 3.9947" Properties=species:S:1:pos:R:3 comment="ZrGeNF2 | the Alexandria database | PBE | relaxed" vol_a3_per_cell=69.7 density_g_cm3=5.1 relative_energy_mev_per_atom=855 e_form_raw_ev_per_atom=-0.574 sg="P4/mmm (123)" pbc="T T T"
Zr 0.0000 0.0000 0.0000
Ge 2.0892 2.0892 1.9973
N 2.0892 2.0892 0.0000
F 0.0000 2.0892 1.9973
F 2.0892 0.0000 1.9973

---

17.
5
Lattice="3.9413 0.0000 0.0000 0.0000 3.9413 0.0000 0.0000 0.0000 3.9413" Properties=species:S:1:pos:R:3 comment="RePdC3 | the Alexandria database | PBE | relaxed" vol_a3_per_cell=61.2 density_g_cm3=8.9 relative_energy_mev_per_atom=1282 ef_ev_per_fu=15.406 sg="Pm-3m (221)" pbc="T T T"
Re 0.0000 0.0000 0.0000
Pd 1.9707 1.9707 1.9707
C 0.0000 1.9707 1.9707
C 1.9707 0.0000 1.9707
C 1.9707 1.9707 0.0000